Compound: Y5Sn3
Source: Alexandria via LeMat-Bulk
Functional: PBE
Structure: optimized geometry

a b c (Å): 8.974 8.974 6.575
angles (deg): 90.00 90.00 120.00
Positions (direct):
Sn (0.000, 0.605, 0.250)
Sn (0.605, 0.605, 0.750)
Sn (0.000, 0.395, 0.750)
Sn (0.395, 0.000, 0.750)
Sn (0.605, 0.000, 0.250)
Sn (0.395, 0.395, 0.250)
Y (0.239, 0.000, 0.250)
Y (0.333, 0.667, 0.000)
Y (0.667, 0.333, 0.500)
Y (0.000, 0.239, 0.250)
Y (0.667, 0.333, 0.000)
Y (0.000, 0.761, 0.750)
Y (0.761, 0.000, 0.750)
Y (0.239, 0.239, 0.750)
Y (0.761, 0.761, 0.250)
Y (0.333, 0.667, 0.500)

Values from the calculation:
As for the total energy: -101.02 eV per cell. The value obtained for the total moment is 0.00 μB per cell. The value obtained for the calculated density is 5.80 g/cm3.

Compound: Ac2HoGa4Pd3
Source: Alexandria via LeMat-Bulk
Functional: PBE
Structure: optimized geometry

a b c (Å): 4.357 4.357 11.913
angles (deg): 90.00 90.00 90.00
Positions (direct):
Pd (0.000, 0.500, 0.121)
Pd (0.500, 0.000, 0.879)
Pd (0.000, 0.000, 0.500)
Ga (0.500, 0.500, 0.000)
Ga (0.500, 0.000, 0.661)
Ga (0.000, 0.000, 0.000)
Ga (0.000, 0.500, 0.339)
Ac (0.500, 0.000, 0.228)
Ac (0.000, 0.500, 0.772)
Ho (0.500, 0.500, 0.500)

Values from the calculation:
As for the total energy: -47.62 eV per cell. The value obtained for the total moment is 0.00 μB per cell. The value obtained for the calculated density is 8.94 g/cm3.

Compound: PmSmHo2
Source: Alexandria via LeMat-Bulk
Functional: PBE
Structure: optimized geometry

a b c (Å): 3.583 3.583 11.815
angles (deg): 81.28 81.28 60.00
Positions (direct):
Ho (0.250, 0.250, 0.251)
Ho (0.750, 0.750, 0.749)
Pm (0.000, 0.000, 0.000)
Sm (0.500, 0.500, 0.500)

Values from the calculation:
As for the total energy: -18.57 eV per cell. The value obtained for the total moment is 0.00 μB per cell. The value obtained for the calculated density is 8.03 g/cm3.

no.,Fermi-level density of states (states/eV/f.u.)
1,4.8
2,10.1
3,4.7